First-principles (PBE-GGA) data for a relaxed structure of NaPmHoGa, as listed in Alexandria via LeMat-Bulk.

Cell lengths 5.2804, 5.2804, 5.2804 Å; angles 60.00, 60.00, 60.00 degrees
Closest atoms and distances in Å follow each position.
Positions (direct):
Na (0.2500, 0.2500, 0.2500)  4 Pm 3.23, 4 Ho 3.23
Ho (0.5000, 0.5000, 0.5000)  4 Ga 3.23, 4 Na 3.23
Ga (0.7500, 0.7500, 0.7500)  4 Ho 3.23, 4 Pm 3.23
Pm (0.0000, 0.0000, 0.0000)  4 Na 3.23, 4 Ga 3.23

Output
Magnetic moment ... 0.00 Bohr magnetons per cell

***

First-principles (PBE-GGA) data for a relaxed structure of Na4Ho3GaS8, as listed in Alexandria via LeMat-Bulk.

Cell lengths 7.7914, 8.0615, 7.7917 Å; angles 118.91, 120.00, 90.00 degrees
Closest atoms and distances in Å follow each position.
Positions (direct):
Na (0.5000, 0.0000, 0.0000)  6 S 3.02
Na (0.5000, 0.0000, 0.5000)  6 S 2.89-2.90
Na (0.0000, 0.0000, 0.0000)  6 S 2.89-2.90
Na (0.0000, 0.0000, 0.5000)  6 S 2.89-2.90
Ho (0.5000, 0.5000, 0.0000)  6 S 2.71-2.74
Ho (0.5000, 0.5000, 0.5000)  6 S 2.71-2.74
Ho (0.0000, 0.5000, 0.5000)  6 S 2.71-2.74
Ga (0.0000, 0.5000, 0.0000)  6 S 2.59
S (0.2311, 0.7193, 0.9882)  1 Ga 2.59, 2 Ho 2.74, 2 Na 2.89
S (0.2313, 0.7195, 0.4626)  1 Ga 2.59, 2 Ho 2.74, 2 Na 2.89
S (0.2577, 0.2731, 0.5155)  3 Ho 2.71, 3 Na 2.90
S (0.7570, 0.7193, 0.9882)  1 Ga 2.59, 2 Ho 2.74, 2 Na 2.89
S (0.2430, 0.2807, 0.0118)  1 Ga 2.59, 2 Ho 2.74, 2 Na 2.89
S (0.7423, 0.7269, 0.4845)  3 Ho 2.71, 3 Na 2.90
S (0.7687, 0.2805, 0.5374)  1 Ga 2.59, 2 Ho 2.74, 2 Na 2.89
S (0.7689, 0.2807, 0.0118)  1 Ga 2.59, 2 Ho 2.74, 2 Na 2.89

Output
Magnetic moment ... 0.00 Bohr magnetons per cell
Uncorrected formation energy ... -150.1 kJ per mole of atoms

***

First-principles (PBE-GGA) data for a relaxed structure of Na2HoGaSe4, as listed in Alexandria via LeMat-Bulk.

Cell lengths 8.1880, 8.1880, 8.3225 Å; angles 120.53, 120.53, 90.89 degrees
Closest atoms and distances in Å follow each position.
Positions (direct):
Na (0.5000, 0.0000, 0.0000)  6 Se 2.91-2.97
Na (0.5000, 0.0000, 0.5000)  6 Se 2.91-2.97
Na (0.0000, 0.0000, 0.5000)  6 Se 3.01-3.10
Na (0.5000, 0.5000, 0.0000)  6 Se 3.01-3.10
Ho (0.0000, 0.5000, 0.0000)  6 Se 2.84-2.90
Ho (0.0000, 0.5000, 0.5000)  6 Se 2.84-2.90
Ga (0.5000, 0.5000, 0.5000)  6 Se 2.66-2.83
Ga (0.0000, 0.0000, 0.0000)  6 Se 2.66-2.83
Se (0.2359, 0.7510, 0.9933)  1 Ga 2.83, 2 Ho 2.84, 3 Na 2.91-3.01
Se (0.7490, 0.2641, 0.5067)  1 Ga 2.83, 2 Ho 2.84, 3 Na 2.91-3.01
Se (0.2510, 0.7359, 0.4933)  1 Ga 2.83, 2 Ho 2.84, 3 Na 2.91-3.01
Se (0.7641, 0.2490, 0.0067)  1 Ga 2.83, 2 Ho 2.84, 3 Na 2.91-3.01
Se (0.7538, 0.7479, 0.9649)  2 Ga 2.66-2.67, 1 Ho 2.90, 1 Na 2.97
Se (0.7521, 0.7462, 0.5351)  2 Ga 2.66-2.67, 1 Ho 2.90, 1 Na 2.97
Se (0.2479, 0.2538, 0.4649)  2 Ga 2.66-2.67, 1 Ho 2.90, 1 Na 2.97
Se (0.2462, 0.2521, 0.0351)  2 Ga 2.66-2.67, 1 Ho 2.90, 1 Na 2.97

Output
Magnetic moment ... 0.00 Bohr magnetons per cell
Uncorrected formation energy ... -112.0 kJ per mole of atoms

***

First-principles (PBE-GGA) data for a relaxed structure of Na3Ho3GaSe8, as listed in Alexandria via LeMat-Bulk.

Cell lengths 8.0641, 8.0702, 8.5239 Å; angles 118.31, 90.00, 119.97 degrees
Closest atoms and distances in Å follow each position.
Positions (direct):
Na (0.0000, 0.0000, 0.0000)  6 Se 3.02-3.03
Na (0.0000, 0.5000, 0.0000)  6 Se 3.02-3.03
Na (0.5000, 0.5000, 0.0000)  6 Se 3.02-3.03
Ho (0.5000, 0.0000, 0.5000)  6 Se 2.85-2.86
Ho (0.5000, 0.5000, 0.5000)  6 Se 2.85-2.86
Ho (0.0000, 0.5000, 0.5000)  6 Se 2.85-2.86
Ga (0.0000, 0.0000, 0.5000)  6 Se 2.69-2.70
Se (0.2568, 0.5136, 0.2704)  3 Ho 2.85, 3 Na 3.02
Se (0.7432, 0.4864, 0.7296)  3 Ho 2.85, 3 Na 3.02
Se (0.7702, 0.5404, 0.2824)  1 Ga 2.69, 2 Ho 2.86
Se (0.2298, 0.4596, 0.7176)  1 Ga 2.69, 2 Ho 2.86
Se (0.7697, 0.0123, 0.2820)  1 Ga 2.70, 2 Ho 2.86
Se (0.2303, 0.9877, 0.7180)  1 Ga 2.70, 2 Ho 2.86
Se (0.2426, 0.0123, 0.2820)  1 Ga 2.70, 2 Ho 2.86
Se (0.7574, 0.9877, 0.7180)  1 Ga 2.70, 2 Ho 2.86

Output
Magnetic moment ... 0.00 Bohr magnetons per cell
Uncorrected formation energy ... -130.1 kJ per mole of atoms

***

First-principles (PBE-GGA) data for a relaxed structure of NaHoGaSn, as listed in Alexandria via LeMat-Bulk.

Cell lengths 5.1705, 5.1705, 5.1705 Å; angles 60.00, 60.00, 60.00 degrees
Closest atoms and distances in Å follow each position.
Positions (direct):
Na (0.5000, 0.5000, 0.5000)  4 Sn 3.17, 4 Ga 3.17
Ho (0.0000, 0.0000, 0.0000)  4 Ga 3.17, 4 Sn 3.17
Ga (0.2500, 0.2500, 0.2500)  4 Na 3.17, 4 Ho 3.17
Sn (0.7500, 0.7500, 0.7500)  4 Ho 3.17, 4 Na 3.17

Output
Magnetic moment ... 0.00 Bohr magnetons per cell

***

First-principles (PBE-GGA) data for a relaxed structure of Na3Ho3GaTe8, as listed in Alexandria via LeMat-Bulk.

Cell lengths 8.5945, 8.5966, 9.2361 Å; angles 117.86, 89.90, 120.02 degrees
Closest atoms and distances in Å follow each position.
Positions (direct):
Na (0.0000, 0.0000, 0.0000)  6 Te 3.24-3.26
Na (0.0000, 0.5000, 0.0000)  6 Te 3.25-3.26
Na (0.5000, 0.5000, 0.0000)  6 Te 3.24-3.26
Ho (0.5000, 0.0000, 0.5000)  6 Te 3.06-3.07
Ho (0.5000, 0.5000, 0.5000)  6 Te 3.06-3.07
Ho (0.0000, 0.5000, 0.5000)  6 Te 3.06-3.07
Ga (0.0000, 0.0000, 0.5000)  6 Te 2.91-2.94
Te (0.2559, 0.5115, 0.2680)  3 Ho 3.07, 3 Na 3.24-3.25
Te (0.7441, 0.4885, 0.7320)  3 Ho 3.07, 3 Na 3.24-3.25
Te (0.7682, 0.5361, 0.2800)  1 Ga 2.91, 2 Ho 3.06-3.07, 2 Na 3.26
Te (0.2318, 0.4639, 0.7200)  1 Ga 2.91, 2 Ho 3.06-3.07, 2 Na 3.26
Te (0.7660, 0.0121, 0.2785)  1 Ga 2.94, 2 Ho 3.06, 2 Na 3.25-3.26
Te (0.2340, 0.9879, 0.7215)  1 Ga 2.94, 2 Ho 3.06, 2 Na 3.25-3.26
Te (0.2461, 0.0120, 0.2787)  1 Ga 2.94, 2 Ho 3.06, 2 Na 3.25-3.26
Te (0.7539, 0.9880, 0.7213)  1 Ga 2.94, 2 Ho 3.06, 2 Na 3.25-3.26

Output
Magnetic moment ... 0.00 Bohr magnetons per cell
Uncorrected formation energy ... -96.5 kJ per mole of atoms

***

First-principles (PBE-GGA) data for a relaxed structure of HoNbGa, as listed in Alexandria via LeMat-Bulk.

Cell lengths 5.6230, 5.6037, 5.3527 Å; angles 74.72, 58.31, 59.89 degrees
Closest atoms and distances in Å follow each position.
Positions (direct):
Ga (0.7500, 0.5000, 0.5000)  2 Ga 2.81, 4 Nb 2.86, 4 Ho 2.91
Ga (0.2500, 0.5000, 0.5000)  2 Ga 2.81, 4 Nb 2.86, 4 Ho 2.91
Nb (0.8548, 0.2904, 0.0000)  1 Nb 2.81, 4 Ga 2.86
Nb (0.1452, 0.7096, 0.0000)  1 Nb 2.81, 4 Ga 2.86
Ho (0.6635, 0.0000, 0.6730)  4 Ga 2.91, 3 Ho 2.98-3.22
Ho (0.3365, 0.0000, 0.3270)  4 Ga 2.91, 3 Ho 2.98-3.22

Output
Magnetic moment ... 0.00 Bohr magnetons per cell

***

First-principles (PBE-GGA) data for a relaxed structure of HoNbGa4, as listed in Alexandria via LeMat-Bulk.

Cell lengths 5.2985, 5.2985, 5.2985 Å; angles 60.00, 60.00, 60.00 degrees
Closest atoms and distances in Å follow each position.
Positions (direct):
Nb (0.0000, 0.0000, 0.0000)  12 Ga 3.11, 4 Ho 3.24
Ho (0.2500, 0.2500, 0.2500)  12 Ga 3.11, 4 Nb 3.24
Ga (0.6254, 0.6254, 0.1238)  6 Ga 2.64-2.66
Ga (0.6254, 0.1238, 0.6254)  6 Ga 2.64-2.66
Ga (0.6254, 0.6254, 0.6254)  6 Ga 2.64-2.66
Ga (0.1238, 0.6254, 0.6254)  6 Ga 2.64-2.66

Output
Magnetic moment ... 0.00 Bohr magnetons per cell

***

First-principles (PBE-GGA) data for a relaxed structure of HoNbGa4, as listed in Alexandria via LeMat-Bulk.

Cell lengths 4.1553, 5.5362, 5.5362 Å; angles 81.43, 67.96, 67.96 degrees
Closest atoms and distances in Å follow each position.
Positions (direct):
Ho (0.0000, 0.0000, 0.0000)  12 Ga 3.01-3.02
Nb (0.5000, 0.5000, 0.5000)  12 Ga 3.00-3.04
Ga (0.2469, 0.4183, 0.0879)  3 Ga 2.39-2.41
Ga (0.2469, 0.0879, 0.4183)  3 Ga 2.39-2.41
Ga (0.7531, 0.5817, 0.9121)  3 Ga 2.39-2.41
Ga (0.7531, 0.9121, 0.5817)  3 Ga 2.39-2.41

Output
Magnetic moment ... 0.00 Bohr magnetons per cell

***

First-principles (PBE-GGA) data for a relaxed structure of HoNbGa3, as listed in Alexandria via LeMat-Bulk.

Cell lengths 4.0158, 4.0158, 6.8654 Å; angles 107.01, 107.01, 90.00 degrees
Closest atoms and distances in Å follow each position.
Positions (direct):
Ho (0.9881, 0.9881, 0.9762)  4 Ga 2.95
Nb (0.6316, 0.6316, 0.2632)  5 Ga 2.61-2.68
Ga (0.2739, 0.7739, 0.5479)  2 Nb 2.68, 6 Ga 2.74-2.84
Ga (0.7739, 0.2739, 0.5479)  2 Nb 2.68, 6 Ga 2.74-2.84
Ga (0.4227, 0.4227, 0.8454)  1 Nb 2.61, 4 Ga 2.74

Output
Magnetic moment ... 0.49 Bohr magnetons per cell

***

First-principles (PBE-GGA) data for a relaxed structure of HoNb2Ga8, as listed in Alexandria via LeMat-Bulk.

Cell lengths 5.2741, 7.1877, 6.9711 Å; angles 58.97, 80.60, 71.53 degrees
Closest atoms and distances in Å follow each position.
Positions (direct):
Ho (0.5000, 0.0000, 0.0000)  8 Ga 2.90-3.11
Nb (0.0000, 0.2881, 0.4238)  8 Ga 2.64-2.86
Nb (0.0000, 0.7119, 0.5762)  8 Ga 2.64-2.86
Ga (0.8645, 0.1082, 0.2100)  2 Ga 2.51-2.78, 2 Nb 2.64-2.71
Ga (0.8645, 0.3182, 0.7900)  2 Ga 2.51-2.78, 2 Nb 2.64-2.71
Ga (0.2631, 0.4231, 0.0000)  3 Ga 2.64-2.78, 2 Nb 2.86, 1 Ho 2.90
Ga (0.5000, 0.7394, 0.5212)  2 Nb 2.66, 2 Ga 2.83
Ga (0.5000, 0.2606, 0.4788)  2 Nb 2.66, 2 Ga 2.83
Ga (0.7369, 0.5769, 0.0000)  3 Ga 2.64-2.78, 2 Nb 2.86, 1 Ho 2.90
Ga (0.1355, 0.6818, 0.2100)  2 Ga 2.51-2.78, 2 Nb 2.64-2.71
Ga (0.1355, 0.8918, 0.7900)  2 Ga 2.51-2.78, 2 Nb 2.64-2.71

Output
Magnetic moment ... 0.00 Bohr magnetons per cell

***

First-principles (PBE-GGA) data for a relaxed structure of Ho5Nb3Ga12, as listed in Alexandria via LeMat-Bulk.

Cell lengths 13.8873, 13.8873, 13.8873 Å; angles 109.47, 109.47, 109.47 degrees
Closest atoms and distances in Å follow each position.
Positions (direct):
Nb (0.7500, 0.3750, 0.1250)  8 Ga 2.75-2.76
Nb (0.8750, 0.7500, 0.1250)  8 Ga 2.75-2.76
Nb (0.3750, 0.7500, 0.6250)  8 Ga 2.75-2.76
Nb (0.2500, 0.1250, 0.3750)  8 Ga 2.75-2.76
Nb (0.8750, 0.1250, 0.2500)  8 Ga 2.75-2.76
Nb (0.3750, 0.6250, 0.2500)  8 Ga 2.75-2.76
Nb (0.6250, 0.3750, 0.7500)  8 Ga 2.75-2.76
Nb (0.1250, 0.8750, 0.7500)  8 Ga 2.75-2.76
Nb (0.7500, 0.8750, 0.6250)  8 Ga 2.75-2.76
Nb (0.6250, 0.2500, 0.3750)  8 Ga 2.75-2.76
Nb (0.1250, 0.2500, 0.8750)  8 Ga 2.75-2.76
Nb (0.2500, 0.6250, 0.8750)  8 Ga 2.75-2.76
Ho (0.1250, 0.3750, 0.2500)  4 Ga 2.91
Ho (0.0000, 0.5000, 0.0000)  6 Ga 2.81
Ho (0.0000, 0.0000, 0.0000)  6 Ga 2.81
Ho (0.3750, 0.2500, 0.1250)  4 Ga 2.91
Ho (0.5000, 0.0000, 0.5000)  6 Ga 2.81
Ho (0.5000, 0.5000, 0.0000)  6 Ga 2.81
Ho (0.1250, 0.7500, 0.3750)  4 Ga 2.91
Ho (0.7500, 0.1250, 0.8750)  4 Ga 2.91
Ho (0.7500, 0.6250, 0.3750)  4 Ga 2.91
Ho (0.3750, 0.1250, 0.7500)  4 Ga 2.91
Ho (0.6250, 0.8750, 0.2500)  4 Ga 2.91
Ho (0.5000, 0.5000, 0.5000)  6 Ga 2.81
Ho (0.5000, 0.0000, 0.0000)  6 Ga 2.81
Ho (0.0000, 0.0000, 0.5000)  6 Ga 2.81
Ho (0.2500, 0.3750, 0.6250)  4 Ga 2.91
Ho (0.2500, 0.8750, 0.1250)  4 Ga 2.91
Ho (0.0000, 0.5000, 0.5000)  6 Ga 2.81
Ho (0.8750, 0.2500, 0.6250)  4 Ga 2.91
Ho (0.6250, 0.7500, 0.8750)  4 Ga 2.91
Ho (0.8750, 0.6250, 0.7500)  4 Ga 2.91
Ga (0.7360, 0.1616, 0.0876)  1 Ga 2.45
Ga (0.3516, 0.5876, 0.4261)  1 Ga 2.45
Ga (0.9124, 0.3384, 0.2640)  1 Ga 2.45
Ga (0.5876, 0.2360, 0.1616)  1 Ga 2.45
Ga (0.5744, 0.7360, 0.6484)  1 Ga 2.45
Ga (0.9124, 0.5739, 0.1484)  1 Ga 2.45
Ga (0.3516, 0.7640, 0.4256)  1 Ga 2.45
Ga (0.0739, 0.9256, 0.1616)  1 Ga 2.45
Ga (0.5739, 0.9124, 0.6484)  1 Ga 2.45
Ga (0.7360, 0.5744, 0.1484)  1 Ga 2.45
Ga (0.7640, 0.4124, 0.3384)  1 Ga 2.45
Ga (0.8516, 0.9261, 0.0876)  1 Ga 2.45
Ga (0.1616, 0.7360, 0.5876)  1 Ga 2.45
Ga (0.3384, 0.4261, 0.0744)  1 Ga 2.45
Ga (0.0744, 0.9261, 0.3384)  1 Ga 2.45
Ga (0.4256, 0.1616, 0.5739)  1 Ga 2.45
Ga (0.0744, 0.1484, 0.2360)  1 Ga 2.45
Ga (0.4124, 0.6484, 0.0739)  1 Ga 2.45
Ga (0.8516, 0.9256, 0.2640)  1 Ga 2.45
Ga (0.1616, 0.4256, 0.0739)  1 Ga 2.45
Ga (0.3384, 0.9124, 0.7640)  1 Ga 2.45
Ga (0.5739, 0.6616, 0.4256)  1 Ga 2.45
Ga (0.9261, 0.8516, 0.5876)  1 Ga 2.45
Ga (0.7640, 0.3516, 0.9256)  1 Ga 2.45
Ga (0.4261, 0.3384, 0.5744)  1 Ga 2.45
Ga (0.0739, 0.1484, 0.4124)  1 Ga 2.45
Ga (0.2360, 0.6484, 0.0744)  1 Ga 2.45
Ga (0.1484, 0.0744, 0.7360)  1 Ga 2.45
Ga (0.6616, 0.0876, 0.2360)  1 Ga 2.45
Ga (0.8384, 0.5744, 0.9261)  1 Ga 2.45
Ga (0.5876, 0.3516, 0.9261)  1 Ga 2.45
Ga (0.5744, 0.8384, 0.4261)  1 Ga 2.45
Ga (0.9256, 0.8516, 0.7640)  1 Ga 2.45
Ga (0.9256, 0.0739, 0.6616)  1 Ga 2.45
Ga (0.8384, 0.2640, 0.4124)  1 Ga 2.45
Ga (0.1484, 0.0739, 0.9124)  1 Ga 2.45
Ga (0.6616, 0.5739, 0.9256)  1 Ga 2.45
Ga (0.4261, 0.0876, 0.3516)  1 Ga 2.45
Ga (0.2640, 0.4256, 0.8516)  1 Ga 2.45
Ga (0.2360, 0.5876, 0.6616)  1 Ga 2.45
Ga (0.9261, 0.0744, 0.8384)  1 Ga 2.45
Ga (0.6484, 0.2360, 0.5744)  1 Ga 2.45
Ga (0.4124, 0.7640, 0.8384)  1 Ga 2.45
Ga (0.0876, 0.4261, 0.8516)  1 Ga 2.45
Ga (0.4256, 0.2640, 0.3516)  1 Ga 2.45
Ga (0.0876, 0.6616, 0.7360)  1 Ga 2.45
Ga (0.6484, 0.4124, 0.5739)  1 Ga 2.45
Ga (0.2640, 0.8384, 0.9124)  1 Ga 2.45

Output
Magnetic moment ... 0.00 Bohr magnetons per cell

***

Looking at E_tot for the records above, in order, we have -3.55; -5.00; -4.18; -4.59; -3.53; -4.06; -6.09; -4.81; -4.76; -4.93; -4.55; -4.31 eV/atom.